(1)
Here is AcTb6Ho4 after structural relaxation from Alexandria via LeMat-Bulk. Energies are from PBE-GGA.

Values from the calculation:
As for the excess energy over the best structure of this formula in the dataset: 0 meV/atom.

a = 5.657 Å, b = 5.657 Å, c = 25.632 Å
α = 90.00°, β = 90.00°, γ = 117.96°
Atoms (fractional coordinates):
Ac  0.206  0.794  0.750
Ac  0.794  0.206  0.250
Tb  0.126  0.874  0.179
Tb  0.126  0.874  0.321
Tb  0.201  0.799  0.598
Tb  0.201  0.799  0.902
Tb  0.457  0.543  0.250
Tb  0.500  0.500  0.000
Tb  0.500  0.500  0.500
Tb  0.543  0.457  0.750
Tb  0.799  0.201  0.098
Tb  0.799  0.201  0.402
Tb  0.874  0.126  0.679
Tb  0.874  0.126  0.821
Ho  0.152  0.848  0.042
Ho  0.152  0.848  0.458
Ho  0.456  0.544  0.122
Ho  0.456  0.544  0.378
Ho  0.544  0.456  0.622
Ho  0.544  0.456  0.878
Ho  0.848  0.152  0.542
Ho  0.848  0.152  0.958


(2)
Here is Ac2Tb7Ho2 after structural relaxation from Alexandria via LeMat-Bulk. Energies are from PBE-GGA.

a = 8.201 Å, b = 8.201 Å, c = 6.225 Å
α = 106.89°, β = 106.89°, γ = 89.80°
Atoms (fractional coordinates):
Ac  0.213  0.787  0.000
Ac  0.787  0.213  0.000
Tb  0.000  0.000  0.500
Tb  0.061  0.595  0.340
Tb  0.403  0.403  0.680
Tb  0.405  0.939  0.660
Tb  0.595  0.061  0.340
Tb  0.597  0.597  0.320
Tb  0.939  0.405  0.660
Ho  0.251  0.251  0.076
Ho  0.749  0.749  0.924


(3)
Here is Ac2Tb2Ho5 after structural relaxation from Alexandria via LeMat-Bulk. Energies are from PBE-GGA.

a = 11.129 Å, b = 11.129 Å, c = 8.282 Å
α = 98.67°, β = 98.67°, γ = 18.62°
Atoms (fractional coordinates):
Ac  0.180  0.180  0.135
Ac  0.820  0.820  0.865
Tb  0.453  0.453  0.648
Tb  0.547  0.547  0.352
Ho  0.000  0.000  0.000
Ho  0.091  0.091  0.718
Ho  0.310  0.310  0.467
Ho  0.690  0.690  0.533
Ho  0.909  0.909  0.282


(4)
Here is AcTb6Ho2 after structural relaxation from Alexandria via LeMat-Bulk. Energies are from PBE-GGA.

Values from the calculation:
As for the excess energy over the best structure of this formula in the dataset: 51 meV/atom.

a = 10.383 Å, b = 10.383 Å, c = 6.180 Å
α = 92.20°, β = 92.20°, γ = 116.52°
Atoms (fractional coordinates):
Ac  0.249  0.751  0.750
Ac  0.751  0.249  0.250
Tb  0.020  0.166  0.990
Tb  0.088  0.589  0.228
Tb  0.166  0.020  0.490
Tb  0.333  0.481  0.008
Tb  0.411  0.912  0.272
Tb  0.481  0.333  0.508
Tb  0.519  0.667  0.492
Tb  0.589  0.088  0.728
Tb  0.667  0.519  0.992
Tb  0.834  0.980  0.510
Tb  0.912  0.411  0.772
Tb  0.980  0.834  0.010
Ho  0.155  0.345  0.499
Ho  0.345  0.155  0.999
Ho  0.655  0.845  0.001
Ho  0.845  0.655  0.501


(5)
Here is AcTb6Ho2 after structural relaxation from Alexandria via LeMat-Bulk. Energies are from PBE-GGA.

Values from the calculation:
As for the excess energy over the best structure of this formula in the dataset: 0 meV/atom.

a = 3.623 Å, b = 3.623 Å, c = 26.531 Å
α = 90.00°, β = 90.00°, γ = 120.00°
Atoms (fractional coordinates):
Ac  0.000  0.000  0.000
Tb  0.000  0.000  0.224
Tb  0.000  0.000  0.435
Tb  0.000  0.000  0.565
Tb  0.000  0.000  0.776
Tb  0.333  0.667  0.118
Tb  0.333  0.667  0.882
Ho  0.333  0.667  0.331
Ho  0.333  0.667  0.669


(6)
Here is AcTb2Ho9 after structural relaxation from Alexandria via LeMat-Bulk. Energies are from PBE-GGA.

a = 5.042 Å, b = 5.042 Å, c = 15.147 Å
α = 90.00°, β = 90.00°, γ = 90.00°
Atoms (fractional coordinates):
Ac  0.000  0.000  0.000
Tb  0.000  0.000  0.336
Tb  0.000  0.000  0.664
Ho  0.000  0.500  0.174
Ho  0.000  0.500  0.500
Ho  0.000  0.500  0.826
Ho  0.500  0.000  0.174
Ho  0.500  0.000  0.500
Ho  0.500  0.000  0.826
Ho  0.500  0.500  0.000
Ho  0.500  0.500  0.337
Ho  0.500  0.500  0.663


(7)
Here is Ac4TbHo after structural relaxation from Alexandria via LeMat-Bulk. Energies are from PBE-GGA.

Values from the calculation:
As for the excess energy over the best structure of this formula in the dataset: 248 meV/atom.

a = 7.126 Å, b = 7.126 Å, c = 7.126 Å
α = 60.00°, β = 60.00°, γ = 60.00°
Atoms (fractional coordinates):
Ac  0.125  0.125  0.125
Ac  0.125  0.125  0.626
Ac  0.125  0.626  0.125
Ac  0.626  0.125  0.125
Tb  0.500  0.500  0.500
Ho  0.750  0.750  0.750


(8)
Here is AcTb3Ho3 after structural relaxation from Alexandria via LeMat-Bulk. Energies are from PBE-GGA.

Values from the calculation:
As for the excess energy over the best structure of this formula in the dataset: 198 meV/atom.

a = 6.410 Å, b = 6.410 Å, c = 6.410 Å
α = 102.62°, β = 102.62°, γ = 102.62°
Atoms (fractional coordinates):
Ac  0.000  0.000  0.000
Tb  0.067  0.425  0.425
Tb  0.425  0.067  0.425
Tb  0.425  0.425  0.067
Ho  0.450  0.861  0.861
Ho  0.861  0.450  0.861
Ho  0.861  0.861  0.450


N(E_F)
In order: 41.3, 17.1, 13.0, 29.7, 16.0, 16.9, 10.8, 11.3
Unit: states/eV/cell
Energy
In order: -97.3, -47.8, -38.5, -79.8, -40.4, -54.1, -23.3, -29.5
Unit: eV per cell
Formation enthalpy at 0 K
In order: 0.14, 0.18, 0.21, 0.13, 0.08, 0.04, 0.39, 0.32
Unit: eV/atom